Entry 1:
The following is a meta-GGA SCAN calculation of a crystal of Ca2LaHfSc relaxed with PBEsol, from Alexandria via LeMat-Bulk.

mass density = 4.510 g/cm3
space-group type = P4/mmm (123)
spin magnetization = 0.000 μB/cell
energy of formation from the pure elements = 0.7357 eV/atom

a b c (Å): 5.1459 5.6267 5.6267
angles (deg): 90.00 90.00 90.00
Element x y z (fractional)
1 Sc 0.0000 0.0000 0.0000
2 Ca 0.0000 0.0000 0.5000
3 Ca 0.0000 0.5000 0.0000
4 Hf 0.5000 0.0000 0.0000
5 La 0.5000 0.5000 0.5000

=====

Entry 2:
The following is a meta-GGA SCAN calculation of a crystal of Y2ScMn relaxed with PBEsol, from Alexandria via LeMat-Bulk.

mass density = 4.848 g/cm3
space-group type = P4mm (99)
spin magnetization = 3.420 μB/cell
energy of formation from the pure elements = -0.0043 eV/atom

a b c (Å): 3.4747 3.4747 7.8780
angles (deg): 90.00 90.00 90.00
Element x y z (fractional)
1 Mn 0.0000 0.0000 0.5307
2 Sc 0.5000 0.5000 0.6914
3 Y 0.0000 0.0000 0.9741
4 Y 0.5000 0.5000 0.3038

=====

Entry 3:
The following is a meta-GGA SCAN calculation of a crystal of TaInN2F relaxed with PBEsol, from Alexandria via LeMat-Bulk.

mass density = 8.402 g/cm3
space-group type = P4/mmm (123)
spin magnetization = 0.001 μB/cell
raw formation energy = -3.925 eV per formula unit

a b c (Å): 4.0915 4.0915 4.0468
angles (deg): 90.00 90.00 90.00
Element x y z (fractional)
1 N 0.0000 0.5000 0.0000
2 N 0.5000 0.0000 0.0000
3 F 0.0000 0.0000 0.5000
4 In 0.5000 0.5000 0.5000
5 Ta 0.0000 0.0000 0.0000